Entry 1:
Computed, not measured: a relaxed structure of Mn2Cd2As at the PBE level of DFT.

Lattice parameters (Å, degrees): 6.276 6.276 4.495 90.00 90.00 90.00
Positions (direct):
1 Mn 0.150 0.350 0.000
2 Mn 0.350 0.850 0.000
3 Mn 0.650 0.150 0.000
4 Mn 0.850 0.650 0.000
5 Cd 0.160 0.660 0.500
6 Cd 0.340 0.160 0.500
7 Cd 0.660 0.840 0.500
8 Cd 0.840 0.340 0.500
9 As 0.000 0.000 0.000
10 As 0.500 0.500 0.000

Output
* final energy: -4.837 eV/atom
* N(E_F): 7.89 states/eV/cell
* SG: P4/mbm (127)
* magnetic moment: 1.085 μB per atom
* formation enthalpy at 0 K: 0.6 eV/f.u.

=====

Entry 2:
Computed, not measured: a relaxed structure of Mn2CdAs at the PBE level of DFT.

Lattice parameters (Å, degrees): 9.145 9.145 9.145 155.16 155.16 35.42
Positions (direct):
1 Mn 0.002 0.625 0.877
2 Mn 0.375 0.252 0.377
3 Mn 0.748 0.125 0.123
4 Mn 0.875 0.998 0.623
5 Cd 0.250 0.750 0.500
6 Cd 0.500 0.500 0.000
7 As 0.000 0.000 0.000
8 As 0.750 0.250 0.500

Output
* final energy: -5.356 eV/atom
* N(E_F): 5.91 states/eV/cell
* SG: I-42d (122)
* magnetic moment: 0.268 μB per atom
* formation enthalpy at 0 K: 2.5 eV/f.u.

=====

Entry 3:
Computed, not measured: a relaxed structure of Mn2CdAs at the PBE level of DFT.

Lattice parameters (Å, degrees): 4.196 4.196 3.791 90.00 90.00 90.00
Positions (direct):
1 Mn 0.000 0.500 0.000
2 Mn 0.500 0.000 0.000
3 Cd 0.000 0.000 0.500
4 As 0.500 0.500 0.500

Output
* final energy: -5.763 eV/atom
* N(E_F): 3.24 states/eV/cell
* SG: P4/mmm (123)
* magnetic moment: 1.836 μB per atom
* formation enthalpy at 0 K: 0.9 eV/f.u.